The following is a PBE calculation of a relaxed structure of Fe2GeI6, from Alexandria via LeMat-Bulk.

Output
Formation energy (no corrections) in eV per atom: -0.1583

Cell lengths 10.3806, 10.3806, 7.4511 Å; angles 103.34, 103.34, 84.21 degrees
Fractional coordinates of all 18 atoms:
1 Fe 0.0362 0.8601 0.8489
2 Fe 0.1399 0.9638 0.6511
3 Fe 0.8601 0.0362 0.3489
4 Fe 0.9638 0.1399 0.1511
5 Ge 0.4357 0.5643 0.7500
6 Ge 0.5643 0.4357 0.2500
7 I 0.0617 0.1903 0.5299
8 I 0.1375 0.6398 0.9031
9 I 0.1903 0.0617 0.0299
10 I 0.3161 0.4451 0.3409
11 I 0.3602 0.8625 0.5969
12 I 0.4451 0.3161 0.8409
13 I 0.5549 0.6839 0.1591
14 I 0.6398 0.1375 0.4031
15 I 0.6839 0.5549 0.6591
16 I 0.8097 0.9383 0.9701
17 I 0.8625 0.3602 0.0969
18 I 0.9383 0.8097 0.4701

The following is a PBE calculation of a relaxed structure of FeGe3I, from Alexandria via LeMat-Bulk.

Output
Formation energy (no corrections) in eV per atom: 0.1147

Cell lengths 4.7454, 4.7454, 4.7454 Å; angles 90.00, 90.00, 90.00 degrees
Fractional coordinates of all 5 atoms:
1 Fe 0.0000 0.0000 0.0000
2 Ge 0.0000 0.0000 0.5000
3 Ge 0.0000 0.5000 0.0000
4 Ge 0.5000 0.0000 0.0000
5 I 0.5000 0.5000 0.5000

The following is a PBE calculation of a relaxed structure of FeGeI5, from Alexandria via LeMat-Bulk.

Output
Formation energy (no corrections) in eV per atom: -0.1712

Cell lengths 7.9672, 7.9672, 11.2265 Å; angles 111.00, 111.00, 88.12 degrees
Fractional coordinates of all 14 atoms:
1 Fe 0.1125 0.8875 0.7500
2 Fe 0.8875 0.1125 0.2500
3 Ge 0.5000 0.5000 0.0000
4 Ge 0.5000 0.5000 0.5000
5 I 0.1591 0.2339 0.8368
6 I 0.2085 0.7430 0.5439
7 I 0.2339 0.1591 0.3368
8 I 0.2570 0.7915 0.9561
9 I 0.4192 0.5808 0.2500
10 I 0.5808 0.4192 0.7500
11 I 0.7430 0.2085 0.0439
12 I 0.7661 0.8409 0.6632
13 I 0.7915 0.2570 0.4561
14 I 0.8409 0.7661 0.1632

The following is a PBE calculation of a relaxed structure of FeGeIN2, from Alexandria via LeMat-Bulk.

Output
Formation energy (no corrections) in eV per atom: 1.5981
Energy relative to the lowest polymorph listed for this composition in meV per atom: 358.8

Cell lengths 3.7126, 3.7126, 6.7963 Å; angles 90.00, 90.00, 90.00 degrees
Fractional coordinates of all 5 atoms:
1 Fe 0.0000 0.0000 0.0000
2 Ge 0.5000 0.5000 0.5000
3 I 0.5000 0.5000 0.0000
4 N 0.0000 0.5000 0.5000
5 N 0.5000 0.0000 0.5000

The following is a PBE calculation of a relaxed structure of FeGeIN2, from Alexandria via LeMat-Bulk.

Output
Formation energy (no corrections) in eV per atom: 1.2393
Energy relative to the lowest polymorph listed for this composition in meV per atom: 0.0

Cell lengths 3.8404, 3.8404, 5.4684 Å; angles 90.00, 90.00, 90.00 degrees
Fractional coordinates of all 5 atoms:
1 Fe 0.0000 0.0000 0.0000
2 Ge 0.5000 0.5000 0.5000
3 I 0.0000 0.0000 0.5000
4 N 0.0000 0.5000 0.0000
5 N 0.5000 0.0000 0.0000

Which of these has the highest formation energy (no corrections)? number 4

The highest formation energy (no corrections) belongs to which entry? number 4

The highest formation energy (no corrections) belongs to which entry? number 4